{"formula": "Nb3Si", "functional": "PBE", "state": "optimized geometry", "dos_ef_per_ev_atom": 0.611, "polymorph_energy_mev_per_atom": 482, "total_magnetization_mub_per_cell": 0.00, "e_form_raw_ev_per_atom": 0.022, "lattice_angstrom": [[-1.5210, -0.0455, -2.8139], [2.0780, -2.3197, 0.7311], [-5.9694, -4.3084, 3.2963]], "species": ["Nb", "Nb", "Nb", "Si"], "fractional_positions": [[0.0000, 0.0000, 0.4837], [0.0000, 0.0000, 0.0163], [0.6665, 0.3335, 0.7500], [0.3335, 0.6665, 0.2500]]}

***

{"formula": "NbSi2", "functional": "PBE", "state": "optimized geometry", "dos_ef_per_ev_atom": 0.304, "total_magnetization_mub_per_cell": 0.00, "e_form_raw_ev_per_atom": -0.457, "lattice_angstrom": [[3.2876, -0.0001, -0.0014], [-0.0001, 3.2876, -0.0014], [-1.6452, -1.6452, 4.1275]], "species": ["Nb", "Si", "Si"], "fractional_positions": [[0.5000, 0.5000, 0.0000], [0.1688, 0.1688, 0.3373], [0.8312, 0.8312, 0.6627]]}

***

{"formula": "NbSi", "functional": "PBE", "state": "optimized geometry", "dos_ef_per_ev_atom": 1.287, "total_magnetization_mub_per_cell": 0.00, "e_form_raw_ev_per_atom": 0.883, "lattice_angstrom": [[5.7683, 0.0000, 0.0000], [0.0000, 5.7683, 0.0000], [0.0000, 0.0000, 5.7683]], "species": ["Nb", "Nb", "Nb", "Nb", "Si", "Si", "Si", "Si"], "fractional_positions": [[0.0000, 0.0000, 0.0000], [0.0000, 0.5000, 0.5000], [0.5000, 0.0000, 0.5000], [0.5000, 0.5000, 0.0000], [0.2500, 0.2500, 0.2500], [0.2500, 0.7500, 0.7500], [0.7500, 0.2500, 0.7500], [0.7500, 0.7500, 0.2500]]}

***

{"formula": "Nb3Si", "functional": "PBE", "state": "optimized geometry", "dos_ef_per_ev_atom": 0.929, "polymorph_energy_mev_per_atom": 234, "total_magnetization_mub_per_cell": 0.00, "e_form_raw_ev_per_atom": -0.226, "lattice_angstrom": [[2.9088, 0.0042, 0.0000], [-0.8524, 2.7811, 0.0000], [0.0000, 0.0000, 8.4800]], "species": ["Nb", "Nb", "Nb", "Si"], "fractional_positions": [[0.5000, 0.5000, 0.7727], [0.0000, 0.0000, 0.5000], [0.5000, 0.5000, 0.2273], [0.0000, 0.0000, 0.0000]]}

***

{"formula": "NbSi", "functional": "PBE", "state": "optimized geometry", "dos_ef_per_ev_atom": 0.480, "total_magnetization_mub_per_cell": 0.00, "e_form_raw_ev_per_atom": 0.008, "lattice_angstrom": [[7.1344, 0.0000, 0.0000], [-3.5672, 6.1786, 0.0000], [0.0000, 0.0000, 4.8263]], "species": ["Nb", "Nb", "Nb", "Nb", "Nb", "Nb", "Si", "Si", "Si", "Si", "Si", "Si"], "fractional_positions": [[0.0466, 0.4222, 0.2500], [0.6244, 0.0466, 0.7500], [0.5778, 0.6244, 0.2500], [0.9534, 0.5778, 0.7500], [0.3756, 0.9534, 0.2500], [0.4222, 0.3756, 0.7500], [0.7849, 0.0249, 0.2500], [0.7600, 0.7849, 0.7500], [0.9751, 0.7600, 0.2500], [0.2152, 0.9751, 0.7500], [0.2400, 0.2152, 0.2500], [0.0249, 0.2400, 0.7500]]}

***

{"formula": "Nb5Si3", "functional": "PBE", "state": "optimized geometry", "dos_ef_per_ev_atom": 0.270, "polymorph_energy_mev_per_atom": 0, "total_magnetization_mub_per_cell": 0.00, "e_form_raw_ev_per_atom": -0.698, "lattice_angstrom": [[7.5849, 0.0059, 0.0000], [1.8296, 7.3609, 0.0000], [-4.7073, -3.6834, 4.6696]], "species": ["Nb", "Nb", "Nb", "Nb", "Nb", "Nb", "Nb", "Nb", "Nb", "Nb", "Si", "Si", "Si", "Si", "Si", "Si"], "fractional_positions": [[0.0168, 0.1845, 0.5000], [0.5168, 0.0168, 0.8323], [0.1845, 0.6845, 0.1677], [0.4832, 0.9832, 0.1677], [0.6845, 0.5168, 0.5000], [0.9832, 0.8155, 0.5000], [0.3155, 0.4832, 0.5000], [0.8155, 0.3155, 0.8323], [0.5000, 0.5000, 0.0000], [0.0000, 0.0000, 0.0000], [0.1291, 0.6291, 0.7582], [0.6291, 0.8709, 0.5000], [0.3709, 0.1291, 0.5000], [0.8709, 0.3709, 0.2418], [0.7500, 0.7500, 0.0000], [0.2500, 0.2500, 0.0000]]}

***

{"formula": "NbSi", "functional": "PBE", "state": "optimized geometry", "dos_ef_per_ev_atom": 0.342, "total_magnetization_mub_per_cell": 0.00, "e_form_raw_ev_per_atom": -0.072, "lattice_angstrom": [[7.6311, 0.0000, 0.0000], [0.0000, 7.6311, 0.0000], [0.0000, 0.0000, 5.0155]], "species": ["Nb", "Nb", "Nb", "Nb", "Nb", "Nb", "Nb", "Nb", "Si", "Si", "Si", "Si", "Si", "Si", "Si", "Si"], "fractional_positions": [[0.3130, 0.0915, 0.0000], [0.6870, 0.9085, 0.0000], [0.9085, 0.3130, 0.0000], [0.0915, 0.6870, 0.0000], [0.8130, 0.5915, 0.5000], [0.1870, 0.4085, 0.5000], [0.4085, 0.8130, 0.5000], [0.5915, 0.1870, 0.5000], [0.4132, 0.7426, 0.0000], [0.5868, 0.2574, 0.0000], [0.2574, 0.4132, 0.0000], [0.7426, 0.5868, 0.0000], [0.9132, 0.2426, 0.5000], [0.0868, 0.7574, 0.5000], [0.7574, 0.9132, 0.5000], [0.2426, 0.0868, 0.5000]]}

***

{"formula": "Nb3Si", "functional": "PBE", "state": "optimized geometry", "dos_ef_per_ev_atom": 0.807, "polymorph_energy_mev_per_atom": 31, "total_magnetization_mub_per_cell": 0.00, "e_form_raw_ev_per_atom": -0.428, "lattice_angstrom": [[5.1624, 0.0000, 0.0000], [2.5812, 7.3058, 0.0000], [2.5812, 0.0000, 7.3058]], "species": ["Nb", "Nb", "Nb", "Nb", "Nb", "Nb", "Nb", "Nb", "Nb", "Nb", "Nb", "Nb", "Si", "Si", "Si", "Si"], "fractional_positions": [[0.3594, 0.9850, 0.8202], [0.1647, 0.0150, 0.1798], [0.8203, 0.8202, 0.0150], [0.6555, 0.1798, 0.9850], [0.5294, 0.3421, 0.6285], [0.5000, 0.6579, 0.3715], [0.8421, 0.6285, 0.6579], [0.1285, 0.3715, 0.3421], [0.9632, 0.9751, 0.5917], [0.5300, 0.0249, 0.4083], [0.4451, 0.5917, 0.0249], [0.0617, 0.4083, 0.9751], [0.0445, 0.2649, 0.6816], [0.9910, 0.7351, 0.3184], [0.2739, 0.6816, 0.7351], [0.6906, 0.3184, 0.2649]]}

***

{"formula": "NbSi4", "functional": "PBE", "state": "optimized geometry", "dos_ef_per_ev_atom": 1.035, "total_magnetization_mub_per_cell": 0.00, "e_form_raw_ev_per_atom": 1.009, "lattice_angstrom": [[-1.0009, -3.4014, -3.3181], [4.0180, -2.4160, 1.2647], [-2.5367, -2.4848, 3.3123]], "species": ["Nb", "Si", "Si", "Si", "Si"], "fractional_positions": [[0.5000, 0.5000, 0.5000], [0.0000, 0.0000, 0.0000], [0.5000, 0.0000, 0.5000], [0.0000, 0.5000, 0.5000], [0.5000, 0.5000, 0.0000]]}

***

{"formula": "Nb4Si", "functional": "PBE", "state": "optimized geometry", "dos_ef_per_ev_atom": 0.814, "polymorph_energy_mev_per_atom": 0, "total_magnetization_mub_per_cell": 0.00, "e_form_raw_ev_per_atom": 0.065, "lattice_angstrom": [[-5.6110, -0.9938, -2.7247], [3.9416, -4.8332, 0.9992], [-1.4124, 2.0990, 5.7874]], "species": ["Nb", "Nb", "Nb", "Nb", "Nb", "Nb", "Nb", "Nb", "Si", "Si"], "fractional_positions": [[0.7092, 0.4012, 0.3080], [0.0932, 0.4012, 0.6920], [0.1512, 0.3432, 0.1920], [0.1512, 0.9592, 0.8080], [0.6568, 0.8488, 0.8080], [0.0408, 0.8488, 0.1920], [0.5988, 0.9068, 0.3080], [0.5988, 0.2908, 0.6920], [0.5000, 0.5000, 0.0000], [0.2500, 0.7500, 0.5000]]}

***

{"formula": "Nb4Si", "functional": "PBE", "state": "optimized geometry", "dos_ef_per_ev_atom": 1.423, "polymorph_energy_mev_per_atom": 592, "total_magnetization_mub_per_cell": 0.00, "e_form_raw_ev_per_atom": 0.657, "lattice_angstrom": [[-1.9532, 4.2306, -0.0404], [-3.1278, -1.4140, 3.1516], [2.8490, 1.3481, 3.4323]], "species": ["Si", "Nb", "Nb", "Nb", "Nb"], "fractional_positions": [[0.5000, 0.5000, 0.5000], [0.0000, 0.0000, 0.0000], [0.5000, 0.0000, 0.5000], [0.0000, 0.5000, 0.5000], [0.5000, 0.5000, 0.0000]]}

***

{"formula": "Nb3Si", "functional": "PBE", "state": "optimized geometry", "dos_ef_per_ev_atom": 1.376, "polymorph_energy_mev_per_atom": 216, "total_magnetization_mub_per_cell": 0.00, "e_form_raw_ev_per_atom": -0.244, "lattice_angstrom": [[-3.3991, 1.7476, 1.4277], [0.6616, -1.6961, 3.6513], [2.1575, 3.2735, 1.1296]], "species": ["Nb", "Nb", "Nb", "Si"], "fractional_positions": [[0.0000, 0.5000, 0.5000], [0.5000, 0.5000, 0.0000], [0.5000, 0.0000, 0.5000], [0.0000, 0.0000, 0.0000]]}

***

{"formula": "NbSi", "functional": "PBE", "state": "optimized geometry", "dos_ef_per_ev_atom": 1.530, "total_magnetization_mub_per_cell": 0.03, "e_form_raw_ev_per_atom": 0.965, "lattice_angstrom": [[7.0759, 0.0000, 0.0000], [0.0000, 7.0759, 0.0000], [0.0000, 0.0000, 7.0759]], "species": ["Nb", "Nb", "Nb", "Nb", "Nb", "Nb", "Si", "Si", "Si", "Si", "Si", "Si"], "fractional_positions": [[0.2500, 0.0000, 0.5000], [0.7500, 0.0000, 0.5000], [0.0000, 0.5000, 0.2500], [0.0000, 0.5000, 0.7500], [0.5000, 0.2500, 0.0000], [0.5000, 0.7500, 0.0000], [0.2500, 0.5000, 0.0000], [0.7500, 0.5000, 0.0000], [0.5000, 0.0000, 0.2500], [0.5000, 0.0000, 0.7500], [0.0000, 0.2500, 0.5000], [0.0000, 0.7500, 0.5000]]}

***

{"formula": "NbSi", "functional": "PBE", "state": "optimized geometry", "dos_ef_per_ev_atom": 0.380, "total_magnetization_mub_per_cell": 0.00, "e_form_raw_ev_per_atom": -0.540, "lattice_angstrom": [[-5.1976, 1.5828, -0.1374], [-0.7089, -1.9297, 4.5870], [2.3881, 8.1724, 3.8070]], "species": ["Nb", "Nb", "Nb", "Nb", "Nb", "Nb", "Nb", "Nb", "Si", "Si", "Si", "Si", "Si", "Si", "Si", "Si"], "fractional_positions": [[0.8645, 0.1318, 0.4726], [0.3645, 0.3682, 0.5274], [0.1355, 0.6318, 0.0274], [0.6355, 0.8682, 0.9726], [0.3640, 0.8766, 0.3011], [0.8640, 0.6234, 0.6989], [0.6360, 0.3766, 0.1989], [0.1360, 0.1234, 0.8011], [0.2407, 0.8610, 0.5657], [0.7407, 0.6390, 0.4343], [0.7593, 0.3610, 0.9343], [0.2593, 0.1390, 0.0657], [0.1373, 0.3978, 0.2800], [0.6373, 0.1022, 0.7200], [0.8627, 0.8978, 0.2200], [0.3627, 0.6022, 0.7800]]}

***

{"formula": "NbSi2", "functional": "PBE", "state": "optimized geometry", "dos_ef_per_ev_atom": 0.432, "total_magnetization_mub_per_cell": 0.00, "e_form_raw_ev_per_atom": -0.559, "lattice_angstrom": [[-2.7946, 3.9145, -0.1694], [-0.6810, -3.5807, -3.1427], [-4.2635, -2.8627, 4.1856]], "species": ["Nb", "Nb", "Nb", "Si", "Si", "Si", "Si", "Si", "Si"], "fractional_positions": [[0.0000, 0.5000, 0.3333], [0.5000, 0.5000, 0.6667], [0.5000, 0.0000, 0.0000], [0.8407, 0.6813, 0.0000], [0.1593, 0.8407, 0.6667], [0.6813, 0.8407, 0.3333], [0.1593, 0.3187, 0.0000], [0.8407, 0.1593, 0.6667], [0.3187, 0.1593, 0.3333]]}

***

{"formula": "Nb5Si3", "functional": "PBE", "state": "optimized geometry", "dos_ef_per_ev_atom": 0.503, "polymorph_energy_mev_per_atom": 39, "total_magnetization_mub_per_cell": 0.00, "e_form_raw_ev_per_atom": -0.659, "lattice_angstrom": [[-1.9223, -6.9202, 2.3888], [5.2192, 5.3544, 1.1752], [-5.7500, 3.6698, 3.2803]], "species": ["Nb", "Nb", "Nb", "Nb", "Nb", "Nb", "Nb", "Nb", "Nb", "Nb", "Si", "Si", "Si", "Si", "Si", "Si"], "fractional_positions": [[0.5758, 0.2809, 0.8568], [0.7191, 0.5758, 0.2949], [0.4242, 0.7191, 0.1432], [0.2500, 0.7500, 0.5000], [0.9242, 0.7809, 0.7051], [0.7809, 0.0758, 0.8568], [0.2809, 0.4242, 0.7051], [0.0758, 0.2191, 0.2949], [0.2191, 0.9242, 0.1432], [0.7500, 0.2500, 0.5000], [0.1648, 0.6648, 0.8296], [0.2500, 0.2500, 0.0000], [0.7500, 0.7500, 0.0000], [0.6648, 0.8352, 0.5000], [0.3352, 0.1648, 0.5000], [0.8352, 0.3352, 0.1704]]}

***

{"formula": "NbSi", "functional": "PBE", "state": "optimized geometry", "dos_ef_per_ev_atom": 0.788, "total_magnetization_mub_per_cell": 0.00, "e_form_raw_ev_per_atom": -0.256, "lattice_angstrom": [[-5.5756, -0.1058, -3.4381], [-3.8785, -2.3784, 6.3630], [-1.7887, 9.8648, 2.5971]], "species": ["Nb", "Nb", "Nb", "Nb", "Nb", "Nb", "Nb", "Nb", "Nb", "Nb", "Nb", "Nb", "Nb", "Nb", "Nb", "Nb", "Si", "Si", "Si", "Si", "Si", "Si", "Si", "Si", "Si", "Si", "Si", "Si", "Si", "Si", "Si", "Si"], "fractional_positions": [[0.0000, 0.7015, 0.0000], [0.0000, 0.2985, 0.0000], [0.2500, 0.0485, 0.2500], [0.2500, 0.4515, 0.2500], [0.0000, 0.2015, 0.5000], [0.0000, 0.7985, 0.5000], [0.2500, 0.5485, 0.7500], [0.2500, 0.9515, 0.7500], [0.5000, 0.7015, 0.5000], [0.5000, 0.2985, 0.5000], [0.7500, 0.0485, 0.7500], [0.7500, 0.4515, 0.7500], [0.5000, 0.2015, 0.0000], [0.5000, 0.7985, 0.0000], [0.7500, 0.5485, 0.2500], [0.7500, 0.9515, 0.2500], [0.1839, 0.0000, 0.0000], [0.8161, 0.0000, 0.0000], [0.0661, 0.7500, 0.2500], [0.4339, 0.7500, 0.2500], [0.1839, 0.5000, 0.5000], [0.8161, 0.5000, 0.5000], [0.0661, 0.2500, 0.7500], [0.4339, 0.2500, 0.7500], [0.6839, 0.0000, 0.5000], [0.3161, 0.0000, 0.5000], [0.5661, 0.7500, 0.7500], [0.9339, 0.7500, 0.7500], [0.6839, 0.5000, 0.0000], [0.3161, 0.5000, 0.0000], [0.5661, 0.2500, 0.2500], [0.9339, 0.2500, 0.2500]]}

***

{"formula": "NbSi", "functional": "PBE", "state": "optimized geometry", "dos_ef_per_ev_atom": 0.561, "total_magnetization_mub_per_cell": 0.00, "e_form_raw_ev_per_atom": -0.240, "lattice_angstrom": [[5.1530, 0.0000, 0.0000], [0.0000, 5.1530, 0.0000], [0.0000, 0.0000, 5.1530]], "species": ["Nb", "Nb", "Nb", "Nb", "Si", "Si", "Si", "Si"], "fractional_positions": [[0.0000, 0.0000, 0.0000], [0.0000, 0.5000, 0.5000], [0.5000, 0.0000, 0.5000], [0.5000, 0.5000, 0.0000], [0.5000, 0.5000, 0.5000], [0.5000, 0.0000, 0.0000], [0.0000, 0.5000, 0.0000], [0.0000, 0.0000, 0.5000]]}

***

{"formula": "NbSi", "functional": "PBE", "state": "optimized geometry", "dos_ef_per_ev_atom": 1.050, "total_magnetization_mub_per_cell": 0.00, "e_form_raw_ev_per_atom": 0.071, "lattice_angstrom": [[4.4050, 0.0000, 0.0000], [-2.2025, 3.8149, 0.0000], [0.0000, 0.0000, 5.0054]], "species": ["Nb", "Nb", "Si", "Si"], "fractional_positions": [[0.3333, 0.6667, 0.7500], [0.6667, 0.3333, 0.2500], [0.3333, 0.6667, 0.2500], [0.6667, 0.3333, 0.7500]]}

***

{"formula": "NbSi", "functional": "PBE", "state": "optimized geometry", "dos_ef_per_ev_atom": 0.620, "total_magnetization_mub_per_cell": 0.00, "e_form_raw_ev_per_atom": -0.310, "lattice_angstrom": [[15.3498, 0.0000, 0.0000], [0.0000, 2.8286, 0.0000], [0.0000, 0.0000, 4.4376]], "species": ["Nb", "Nb", "Nb", "Nb", "Nb", "Nb", "Si", "Si", "Si", "Si", "Si", "Si"], "fractional_positions": [[0.8156, 0.0000, 0.3570], [0.1844, 0.0000, 0.3570], [0.3156, 0.5000, 0.8570], [0.6844, 0.5000, 0.8570], [0.0000, 0.5000, 0.5261], [0.5000, 0.0000, 0.0261], [0.3572, 0.0000, 0.3676], [0.6428, 0.0000, 0.3676], [0.8572, 0.5000, 0.8676], [0.1428, 0.5000, 0.8676], [0.0000, 0.0000, 0.0268], [0.5000, 0.5000, 0.5268]]}

***

{"formula": "Nb5Si3", "functional": "PBE", "state": "optimized geometry", "dos_ef_per_ev_atom": 0.874, "polymorph_energy_mev_per_atom": 99, "total_magnetization_mub_per_cell": 0.00, "e_form_raw_ev_per_atom": -0.599, "lattice_angstrom": [[-1.0097, -2.6279, 7.0368], [-4.9785, -1.7365, -5.4444], [2.8198, -4.3083, -1.2044]], "species": ["Nb", "Nb", "Nb", "Nb", "Nb", "Nb", "Nb", "Nb", "Nb", "Nb", "Si", "Si", "Si", "Si", "Si", "Si"], "fractional_positions": [[0.7503, 0.7503, 0.2500], [0.0000, 0.2497, 0.2500], [0.7503, 0.0000, 0.7500], [0.3333, 0.6667, 0.0000], [0.2497, 0.0000, 0.2500], [0.6667, 0.3333, 0.0000], [0.0000, 0.7503, 0.7500], [0.3333, 0.6667, 0.5000], [0.2497, 0.2497, 0.7500], [0.6667, 0.3333, 0.5000], [0.6070, 0.6070, 0.7500], [0.3930, 0.0000, 0.7500], [0.6070, 0.0000, 0.2500], [0.0000, 0.3930, 0.7500], [0.3930, 0.3930, 0.2500], [0.0000, 0.6070, 0.2500]]}